# Nd2Zn17

A geometry-optimized Nd2Zn17 structure (PBE, the Alexandria database).

Lattice parameters (Å, degrees): 6.844 6.844 6.844 82.78 82.78 82.78
Sites, in units of the cell vectors:
1 Nd 0.165 0.165 0.165
2 Nd 0.835 0.835 0.835
3 Zn 0.000 0.500 0.500
4 Zn 0.149 0.149 0.662
5 Zn 0.149 0.662 0.149
6 Zn 0.207 0.500 0.793
7 Zn 0.207 0.793 0.500
8 Zn 0.338 0.851 0.851
9 Zn 0.401 0.401 0.401
10 Zn 0.500 0.000 0.500
11 Zn 0.500 0.207 0.793
12 Zn 0.500 0.500 0.000
13 Zn 0.500 0.793 0.207
14 Zn 0.599 0.599 0.599
15 Zn 0.662 0.149 0.149
16 Zn 0.793 0.207 0.500
17 Zn 0.793 0.500 0.207
18 Zn 0.851 0.338 0.851
19 Zn 0.851 0.851 0.338

Values from the calculation:
**Space group**: R-3m (166)


# Nd5Zn

A geometry-optimized Nd5Zn structure (PBE, the Alexandria database).

Lattice parameters (Å, degrees): 6.558 6.558 8.789 111.30 111.30 33.41
Sites, in units of the cell vectors:
1 Nd 0.000 0.000 0.000
2 Nd 0.334 0.334 0.203
3 Nd 0.360 0.360 0.640
4 Nd 0.640 0.640 0.360
5 Nd 0.666 0.666 0.797
6 Zn 0.000 0.000 0.500

Values from the calculation:
**Space group**: C2/m (12)
**ΔE to the lowest computed polymorph**: 17 meV/atom


# Nd2Zn

A geometry-optimized Nd2Zn structure (PBE, the Alexandria database).

Lattice parameters (Å, degrees): 6.435 6.435 5.226 101.84 101.84 119.67
Sites, in units of the cell vectors:
1 Nd 0.085 0.319 0.112
2 Nd 0.319 0.085 0.612
3 Nd 0.681 0.915 0.388
4 Nd 0.915 0.681 0.888
5 Zn 0.370 0.630 0.750
6 Zn 0.630 0.370 0.250

Values from the calculation:
**Space group**: C2/c (15)


# NdZn6

A geometry-optimized NdZn6 structure (PBE, the Alexandria database).

Lattice parameters (Å, degrees): 8.748 5.197 10.685 90.00 90.00 90.00
Sites, in units of the cell vectors:
1 Nd 0.238 0.250 0.059
2 Nd 0.262 0.750 0.559
3 Nd 0.738 0.250 0.441
4 Nd 0.762 0.750 0.941
5 Zn 0.052 0.750 0.093
6 Zn 0.064 0.011 0.308
7 Zn 0.064 0.489 0.308
8 Zn 0.082 0.250 0.521
9 Zn 0.139 0.750 0.855
10 Zn 0.197 0.250 0.750
11 Zn 0.303 0.750 0.250
12 Zn 0.361 0.250 0.355
13 Zn 0.418 0.750 0.021
14 Zn 0.436 0.511 0.808
15 Zn 0.436 0.989 0.808
16 Zn 0.448 0.250 0.593
17 Zn 0.552 0.750 0.407
18 Zn 0.564 0.011 0.192
19 Zn 0.564 0.489 0.192
20 Zn 0.582 0.250 0.979
21 Zn 0.639 0.750 0.645
22 Zn 0.697 0.250 0.750
23 Zn 0.803 0.750 0.250
24 Zn 0.861 0.250 0.145
25 Zn 0.918 0.750 0.479
26 Zn 0.936 0.511 0.692
27 Zn 0.936 0.989 0.692
28 Zn 0.948 0.250 0.907

Values from the calculation:
**Space group**: Pnma (62)


# Nd2Zn3

A geometry-optimized Nd2Zn3 structure (PBE, the Alexandria database).

Lattice parameters (Å, degrees): 14.028 14.028 4.594 90.00 90.00 165.08
Sites, in units of the cell vectors:
1 Nd 0.071 0.929 0.750
2 Nd 0.208 0.792 0.250
3 Nd 0.792 0.208 0.750
4 Nd 0.929 0.071 0.250
5 Zn 0.331 0.669 0.250
6 Zn 0.383 0.617 0.750
7 Zn 0.477 0.523 0.750
8 Zn 0.523 0.477 0.250
9 Zn 0.617 0.383 0.250
10 Zn 0.669 0.331 0.750

Values from the calculation:
**Space group**: Cmcm (63)


# NdZrZn2

A geometry-optimized NdZrZn2 structure (PBE, the Alexandria database).

Lattice parameters (Å, degrees): 3.494 3.494 7.061 90.00 90.00 90.00
Sites, in units of the cell vectors:
1 Nd 0.000 0.000 0.000
2 Zr 0.000 0.000 0.500
3 Zn 0.500 0.500 0.287
4 Zn 0.500 0.500 0.713

Values from the calculation:
**Space group**: P4/mmm (123)
**ΔE to the lowest computed polymorph**: 0 meV/atom


# NdZr2Zn6

A geometry-optimized NdZr2Zn6 structure (PBE, the Alexandria database).

Lattice parameters (Å, degrees): 7.712 7.712 3.253 90.00 90.00 120.00
Sites, in units of the cell vectors:
1 Nd 0.000 0.000 0.000
2 Zr 0.333 0.667 0.000
3 Zr 0.667 0.333 0.000
4 Zn 0.000 0.341 0.500
5 Zn 0.000 0.659 0.500
6 Zn 0.341 0.000 0.500
7 Zn 0.341 0.341 0.500
8 Zn 0.659 0.000 0.500
9 Zn 0.659 0.659 0.500

Values from the calculation:
**Space group**: P6/mmm (191)


# Nd2ZrZn4

A geometry-optimized Nd2ZrZn4 structure (PBE, the Alexandria database).

Lattice parameters (Å, degrees): 7.303 7.303 7.303 139.27 139.27 58.96
Sites, in units of the cell vectors:
1 Nd 0.224 0.224 0.000
2 Nd 0.776 0.776 0.000
3 Zr 0.500 0.500 0.000
4 Zn 0.100 0.600 0.500
5 Zn 0.400 0.900 0.500
6 Zn 0.600 0.100 0.500
7 Zn 0.900 0.400 0.500

Values from the calculation:
**Space group**: I4/mmm (139)


# Nd4ZrZn5

A geometry-optimized Nd4ZrZn5 structure (PBE, the Alexandria database).

Lattice parameters (Å, degrees): 3.607 3.607 18.141 90.00 90.00 90.00
Sites, in units of the cell vectors:
1 Nd 0.000 0.000 0.105
2 Nd 0.000 0.000 0.313
3 Nd 0.000 0.000 0.687
4 Nd 0.000 0.000 0.895
5 Zr 0.000 0.000 0.500
6 Zn 0.500 0.500 0.000
7 Zn 0.500 0.500 0.207
8 Zn 0.500 0.500 0.421
9 Zn 0.500 0.500 0.579
10 Zn 0.500 0.500 0.793

Values from the calculation:
**Space group**: P4/mmm (123)


# NdZrZn4

A geometry-optimized NdZrZn4 structure (PBE, the Alexandria database).

Lattice parameters (Å, degrees): 5.411 5.411 5.411 60.00 60.00 60.00
Sites, in units of the cell vectors:
1 Nd 0.000 0.000 0.000
2 Zr 0.250 0.250 0.250
3 Zn 0.129 0.624 0.624
4 Zn 0.624 0.129 0.624
5 Zn 0.624 0.624 0.129
6 Zn 0.624 0.624 0.624

Values from the calculation:
**Space group**: F-43m (216)
**ΔE to the lowest computed polymorph**: 48 meV/atom


# NdZrZn2

A geometry-optimized NdZrZn2 structure (PBE, the Alexandria database).

Lattice parameters (Å, degrees): 9.105 9.105 9.105 22.05 22.05 22.05
Sites, in units of the cell vectors:
1 Nd 0.000 0.000 0.000
2 Zr 0.500 0.500 0.500
3 Zn 0.243 0.243 0.243
4 Zn 0.757 0.757 0.757

Values from the calculation:
**Space group**: R-3m (166)
**ΔE to the lowest computed polymorph**: 242 meV/atom


# NdZrZn4

A geometry-optimized NdZrZn4 structure (PBE, the Alexandria database).

Lattice parameters (Å, degrees): 3.307 4.475 7.834 90.00 90.00 90.00
Sites, in units of the cell vectors:
1 Nd 0.000 0.000 0.000
2 Zr 0.000 0.500 0.500
3 Zn 0.500 0.000 0.344
4 Zn 0.500 0.000 0.656
5 Zn 0.500 0.500 0.184
6 Zn 0.500 0.500 0.816

Values from the calculation:
**Space group**: Pmmm (47)
**ΔE to the lowest computed polymorph**: 0 meV/atom


no.,energy of formation (eV/atom)
1,-0.256
2,-0.079
3,-0.103
4,-0.224
5,-0.310
6,-0.252
7,-0.273
8,-0.114
9,-0.274
10,-0.238
11,-0.010
12,-0.286